The following is a DFT calculation (PBE-GGA) of HoCu after structural relaxation.

The structure in CIF format:
```
data_HoCu
_symmetry_space_group_name_H-M 'P 1'
_symmetry_Int_Tables_number 1
_symmetry_space_group_name_Hall 'P 1'
_cell_length_a 4.037
_cell_length_b 4.037
_cell_length_c 4.037
_cell_angle_alpha 60.00
_cell_angle_beta 60.00
_cell_angle_gamma 60.00
loop_
_atom_site_label
_atom_site_type_symbol
_atom_site_fract_x
_atom_site_fract_y
_atom_site_fract_z
Ho1 Ho 0.500 0.500 0.500
Cu1 Cu 0.000 0.000 0.000
```

Output
E_tot, eV/atom: -4.362
DOS(E_F), states/eV per cell: 2.19
ΔH_f (0 K), eV per atom: -0.02
Theoretical density, g/cm3: 8.153

The following is a DFT calculation (PBE-GGA) of Sr2LaHg2 after structural relaxation.

The structure in CIF format:
```
data_Sr2LaHg2
_symmetry_space_group_name_H-M 'P 1'
_symmetry_Int_Tables_number 1
_symmetry_space_group_name_Hall 'P 1'
_cell_length_a 9.418
_cell_length_b 9.418
_cell_length_c 3.703
_cell_angle_alpha 90.00
_cell_angle_beta 90.00
_cell_angle_gamma 90.00
loop_
_atom_site_label
_atom_site_type_symbol
_atom_site_fract_x
_atom_site_fract_y
_atom_site_fract_z
Sr1 Sr 0.365 0.865 0.000
Sr2 Sr 0.865 0.635 0.000
Sr3 Sr 0.635 0.135 0.000
Sr4 Sr 0.135 0.365 0.000
Hg1 Hg 0.164 0.664 0.500
Hg2 Hg 0.664 0.836 0.500
Hg3 Hg 0.836 0.336 0.500
Hg4 Hg 0.336 0.164 0.500
La1 La 0.000 0.000 0.000
La2 La 0.500 0.500 0.000
```

Output
E_tot, eV/atom: -2.043
DOS(E_F), states/eV per cell: 5.65
ΔH_f (0 K), eV per atom: -0.26
Theoretical density, g/cm3: 7.232